A plane-wave DFT calculation with PBE-GGA was carried out for a relaxed structure of HoPdAu.

The calculation puts the calculated density at 10.8 g/cm3. The calculation puts the formation energy at -484 meV per atom. As for the total magnetization: 0.00 μB per formula unit.

Structure (CIF):
```
data_HoPdAu
_cell_length_a 6.606
_cell_length_b 6.606
_cell_length_c 6.606
_cell_angle_alpha 90.00
_cell_angle_beta 90.00
_cell_angle_gamma 90.00
_space_group_name_H-M_alt 'F -4 3 m'
_space_group_IT_number 216
_space_group_name_Hall 'F -4 2 3'
loop_
_atom_site_label
_atom_site_type_symbol
_atom_site_fract_x
_atom_site_fract_y
_atom_site_fract_z
_atom_site_occupancy
Ho1 Ho 0.000 0.000 0.000 1
Pd1 Pd 0.250 0.250 0.250 1
Au1 Au 0.250 0.250 0.750 1
```


A plane-wave DFT calculation with PBE-GGA was carried out for a relaxed structure of ZnOs.

The calculation puts the calculated density at 14.9 g/cm3. The calculation puts the formation energy at 251 meV per atom. As for the total magnetization: 0.03 μB per formula unit.

Structure (CIF):
```
data_ZnOs
_cell_length_a 4.368
_cell_length_b 5.363
_cell_length_c 9.746
_cell_angle_alpha 90.00
_cell_angle_beta 90.00
_cell_angle_gamma 90.00
_space_group_name_H-M_alt 'P m m n'
_space_group_IT_number 59
loop_
_space_group_symop_operation_xyz
'x,y,z'
'-x,-y,-z'
'-x+1/2,-y+1/2,z'
'x+1/2,y+1/2,-z'
'x+1/2,-y,-z'
'-x+1/2,y,z'
'-x,y+1/2,-z'
'x,-y+1/2,z'
loop_
_atom_site_label
_atom_site_type_symbol
_atom_site_fract_x
_atom_site_fract_y
_atom_site_fract_z
_atom_site_occupancy
Zn1 Zn 0.250 0.003 0.077 1
Zn2 Zn 0.250 0.750 0.323 1
Zn3 Zn 0.250 0.750 0.821 1
Os1 Os 0.250 0.012 0.571 1
Os2 Os 0.250 0.250 0.334 1
Os3 Os 0.250 0.250 0.823 1
```


A plane-wave DFT calculation with PBE-GGA was carried out for a relaxed structure of NdDy2Al7Ag2.

The calculation puts the calculated density at 6.1 g/cm3. The calculation puts the total DFT energy (no corrections) at -4.29 eV/atom. As for the total magnetization: 0.01 μB per formula unit.

Structure (CIF):
```
data_NdDy2Al7Ag2
_cell_length_a 5.5861
_cell_length_b 5.5861
_cell_length_c 26.4465
_cell_angle_alpha 90.00
_cell_angle_beta 90.00
_cell_angle_gamma 120.00
_space_group_name_H-M_alt 'R -3 m'
_space_group_IT_number 166
_space_group_name_Hall '-R 3 2"'
loop_
_atom_site_label
_atom_site_type_symbol
_atom_site_fract_x
_atom_site_fract_y
_atom_site_fract_z
_atom_site_occupancy
Nd1 Nd 0.0000 0.0000 0.0000 1
Dy1 Dy 0.0000 0.0000 0.1421 1
Al1 Al 0.0000 0.0000 0.5000 1
Al2 Al 0.0081 0.5040 0.9159 1
Ag1 Ag 0.0000 0.0000 0.3358 1
```


A plane-wave DFT calculation with PBE-GGA was carried out for a relaxed structure of KHoPtSe3.

The calculation puts the calculated density at 6.4 g/cm3. The calculation puts the total DFT energy (no corrections) at -4.83 eV/atom. As for the total magnetization: 0.01 μB per formula unit.

Structure (CIF):
```
data_KHoPtSe3
_cell_length_a 4.091
_cell_length_b 16.034
_cell_length_c 10.091
_cell_angle_alpha 90.00
_cell_angle_beta 90.00
_cell_angle_gamma 90.00
_space_group_name_H-M_alt 'C m c m'
_space_group_IT_number 63
_space_group_name_Hall '-C 2c 2'
loop_
_atom_site_label
_atom_site_type_symbol
_atom_site_fract_x
_atom_site_fract_y
_atom_site_fract_z
_atom_site_occupancy
K1 K 0.000 0.240 0.250 1
Ho1 Ho 0.000 0.000 0.000 1
Pt1 Pt 0.000 0.496 0.750 1
Se1 Se 0.000 0.092 0.750 1
Se2 Se 0.000 0.384 0.577 1
```


A plane-wave DFT calculation with PBE-GGA was carried out for a relaxed structure of InFeHgPt.

The calculation puts the calculated density at 13.3 g/cm3. The calculation puts the total DFT energy (no corrections) at -4.22 eV/atom. As for the total magnetization: 2.60 μB per formula unit.

Structure (CIF):
```
data_InFeHgPt
_cell_length_a 6.557
_cell_length_b 6.557
_cell_length_c 6.557
_cell_angle_alpha 90.00
_cell_angle_beta 90.00
_cell_angle_gamma 90.00
_space_group_name_H-M_alt 'F -4 3 m'
_space_group_IT_number 216
_space_group_name_Hall 'F -4 2 3'
loop_
_atom_site_label
_atom_site_type_symbol
_atom_site_fract_x
_atom_site_fract_y
_atom_site_fract_z
_atom_site_occupancy
In1 In 0.000 0.000 0.000 1
Fe1 Fe 0.250 0.250 0.250 1
Hg1 Hg 0.000 0.000 0.500 1
Pt1 Pt 0.250 0.250 0.750 1
```


A plane-wave DFT calculation with PBE-GGA was carried out for a relaxed structure of MgNiH2.

The calculation puts the calculated density at 4.1 g/cm3. The calculation puts the total DFT energy (no corrections) at -3.67 eV/atom. As for the total magnetization: 0.01 μB per formula unit.

Structure (CIF):
```
data_MgNiH2
_cell_length_a 3.262
_cell_length_b 3.262
_cell_length_c 3.240
_cell_angle_alpha 90.00
_cell_angle_beta 90.00
_cell_angle_gamma 90.00
_space_group_name_H-M_alt 'P 4/m m m'
_space_group_IT_number 123
_space_group_name_Hall '-P 4 2'
loop_
_atom_site_label
_atom_site_type_symbol
_atom_site_fract_x
_atom_site_fract_y
_atom_site_fract_z
_atom_site_occupancy
Mg1 Mg 0.000 0.000 0.000 1
Ni1 Ni 0.500 0.500 0.500 1
H1 H 0.000 0.500 0.500 1
```


- Which of these has the lowest calculated density?
  MgNiH2


- Which formula does entry 1 have?
  HoPdAu